# 1
Computed, not measured: LaHf2Ru after structural relaxation at the PBE level of DFT.

Cell: 4.8800 4.8800 4.8800 Å, 60.00 60.00 60.00°
Positions (direct):
Hf 0.2500 0.2500 0.2500
Hf 0.7500 0.7500 0.7500
Ru 0.0000 0.0000 0.0000
La 0.5000 0.5000 0.5000

Summary:
energy above the lowest structure with this stoichiometry: 0 meV per atom
space-group type: No. 225

***

# 2
Computed, not measured: LaHfRu after structural relaxation at the PBE level of DFT.

Cell: 7.3178 8.5831 8.5831 Å, 63.23 64.77 64.77°
Positions (direct):
La 0.2571 0.9629 0.4629
La 0.6823 0.5369 0.0369
La 0.2561 0.4631 0.9631
La 0.8312 0.7499 0.2499
La 0.8310 0.2501 0.7501
La 0.6828 0.0371 0.5371
Ru 0.9235 0.3332 0.3334
Ru 0.5901 0.1666 0.1668
Ru 0.2572 0.2502 0.7502
Ru 0.5901 0.6668 0.6666
Ru 0.2575 0.7498 0.2498
Ru 0.9235 0.8334 0.8332
Hf 0.4995 0.5000 0.5000
Hf 0.4995 0.0000 0.0000
Hf 0.2569 0.3785 0.3789
Hf 0.0143 0.6215 0.6211
Hf 0.2569 0.8789 0.8785
Hf 0.0143 0.1211 0.1215

Summary:
space-group type: No. 46

***

# 3
Computed, not measured: LaHf2Ru2 after structural relaxation at the PBE level of DFT.

Cell: 4.5459 4.5459 6.4314 Å, 69.30 69.30 90.00°
Positions (direct):
La 0.0000 0.0000 0.0000
Ru 0.7500 0.2500 0.5000
Ru 0.2500 0.7500 0.5000
Hf 0.6394 0.6394 0.7213
Hf 0.3606 0.3606 0.2787

Summary:
energy above the lowest structure with this stoichiometry: 304 meV per atom
space-group type: No. 139

***

Looking at DFT total energy for the records above, in order, we have -33.763 -24.871 -43.965 eV/f.u..
Looking at formation enthalpy at 0 K for the records above, in order, we have 87 -238 -116 meV/atom.